ScCdCuAg: optimized geometry, PBE-GGA.

abc: 4.655 4.655 4.655
angles: 60.00 60.00 60.00
Positions (direct):
Sc  0.000  0.000  0.000
Cd  0.750  0.750  0.750
Cu  0.250  0.250  0.250
Ag  0.500  0.500  0.500

## Properties
The magnetization comes out at 0.005 μB/f.u. As for the formation energy: -134 meV per atom.


ScCdCuAg: optimized geometry, PBE-GGA.

abc: 4.653 4.653 4.653
angles: 60.00 60.00 60.00
Positions (direct):
Sc  0.000  0.000  0.000
Cd  0.500  0.500  0.500
Cu  0.250  0.250  0.250
Ag  0.750  0.750  0.750

## Properties
The magnetization comes out at 0.004 μB/f.u. As for the formation energy: -206 meV per atom.